# GaAg6Au3 (PBE, optimized geometry)
# SG = Cmc2_1 (36)
# E = -3.01 eV per atom
data_GaAg6Au3
_cell_length_a 9.202
_cell_length_b 9.202
_cell_length_c 5.553
_cell_angle_alpha 90.00
_cell_angle_beta 90.00
_cell_angle_gamma 128.39
_space_group_name_H-M_alt 'P 1'
_space_group_IT_number 1
_space_group_name_Hall 'P 1'
loop_
_atom_site_label
_atom_site_type_symbol
_atom_site_fract_x
_atom_site_fract_y
_atom_site_fract_z
Ga1 Ga 0.240 0.760 0.500
Ga2 Ga 0.760 0.240 0.000
Ag1 Ag 0.001 0.384 0.366
Ag2 Ag 0.032 0.968 0.990
Ag3 Ag 0.282 0.343 0.222
Ag4 Ag 0.324 0.676 0.071
Ag5 Ag 0.343 0.282 0.722
Ag6 Ag 0.384 0.001 0.866
Ag7 Ag 0.616 0.999 0.366
Ag8 Ag 0.657 0.718 0.222
Ag9 Ag 0.676 0.324 0.571
Ag10 Ag 0.718 0.657 0.722
Ag11 Ag 0.968 0.032 0.490
Ag12 Ag 0.999 0.616 0.866
Au1 Au 0.059 0.312 0.844
Au2 Au 0.312 0.059 0.344
Au3 Au 0.391 0.609 0.590
Au4 Au 0.609 0.391 0.090
Au5 Au 0.688 0.941 0.844
Au6 Au 0.941 0.688 0.344



# CuP2Pb (PBE, optimized geometry)
# SG = I-42d (122)
# E = -4.50 eV per atom
data_CuP2Pb
_cell_length_a 7.005
_cell_length_b 7.005
_cell_length_c 7.005
_cell_angle_alpha 132.52
_cell_angle_beta 132.52
_cell_angle_gamma 69.41
_space_group_name_H-M_alt 'P 1'
_space_group_IT_number 1
_space_group_name_Hall 'P 1'
loop_
_atom_site_label
_atom_site_type_symbol
_atom_site_fract_x
_atom_site_fract_y
_atom_site_fract_z
Cu1 Cu 0.000 0.000 0.000
Cu2 Cu 0.750 0.250 0.500
P1 P 0.063 0.625 0.938
P2 P 0.375 0.313 0.438
P3 P 0.687 0.125 0.062
P4 P 0.875 0.937 0.562
Pb1 Pb 0.250 0.750 0.500
Pb2 Pb 0.500 0.500 0.000



no.,energy of formation (meV per atom)
1,-10.4
2,157.2